Entry 1:
First-principles (meta-GGA SCAN) data for BaGa2Rh2 at its PBEsol-relaxed geometry, as listed in Alexandria.

a b c (Å): 4.3761 4.3761 10.3665
angles (deg): 90.00 90.00 90.00
Closest atoms and distances in Å follow each position.
Space group I4/mmm (No. 139)
Asymmetric unit:
1 Ba 0.0000 0.0000 0.0000  8 Rh 3.39, 10 Ga 3.42-3.73
2 Ga 0.0000 0.0000 0.3598  4 Rh 2.47
3 Rh 0.0000 0.5000 0.2500  4 Ga 2.47

Volume (Å³ per atom): 19.9

=====

Entry 2:
First-principles (meta-GGA SCAN) data for ZnCd2Br at its PBEsol-relaxed geometry, as listed in Alexandria.

a b c (Å): 3.5983 3.5983 23.7324
angles (deg): 90.00 90.00 120.00
Closest atoms and distances in Å follow each position.
Space group R-3m (No. 166, hexagonal axes)
Asymmetric unit:
1 Zn 0.0000 0.0000 0.0000  6 Cd 2.74
2 Cd 0.0000 0.0000 0.2579  3 Zn 2.74, 3 Br 3.00
3 Br 0.0000 0.0000 0.5000  6 Cd 3.00

Volume (Å³ per atom): 22.2
ΔE_f (raw) (eV/atom): -0.159

=====

Entry 3:
First-principles (meta-GGA SCAN) data for VFe3P6O24 at its PBEsol-relaxed geometry, as listed in Alexandria.

a b c (Å): 8.0592 8.0592 21.3008
angles (deg): 90.00 90.00 120.00
Closest atoms and distances in Å follow each position.
Space group R3 (No. 146, hexagonal axes)
Asymmetric unit:
1 V 0.0000 0.0000 0.0000  6 O 1.83-1.86
2 Fe 0.0000 0.0000 0.2137  6 O 1.83-1.88
3 Fe 0.0000 0.0000 0.5085  6 O 1.83-1.87
4 Fe 0.0000 0.0000 0.7217  6 O 1.83-1.84
5 P 0.0503 0.3806 0.7800  4 O 1.53-1.56
6 P 0.0583 0.6719 0.2770  4 O 1.53-1.55
7 O 0.0029 0.1888 0.0511  1 P 1.54
8 O 0.0185 0.8249 0.9504  1 P 1.55
9 O 0.0859 0.8722 0.5578  1 P 1.55
10 O 0.0931 0.8737 0.2642  1 P 1.53
11 O 0.1497 0.6775 0.3407  1 P 1.53
12 O 0.1688 0.4751 0.4419  1 P 1.53
13 O 0.2018 0.4473 0.1256  1 P 1.54
14 O 0.2063 0.4502 0.8320  1 P 1.56

Volume (Å³ per atom): 11.7
ΔE_f (raw) (eV/atom): -2.055

=====

Entry 4:
First-principles (meta-GGA SCAN) data for Sr2YCoCu2O7 at its PBEsol-relaxed geometry, as listed in Alexandria.

a b c (Å): 22.5431 5.4144 5.3737
angles (deg): 90.00 90.00 90.00
Closest atoms and distances in Å follow each position.
Space group Ima2 (No. 46)
Asymmetric unit:
1 Sr 0.1504 0.0083 0.0000  3 O 2.42-2.66
2 Y 0.0000 0.0000 0.9996  8 O 2.36-2.42
3 Co 0.2500 0.5632 0.0344  4 O 1.79-1.92
4 Cu 0.0707 0.9998 0.4990  4 O 1.91-1.92
5 O 0.0627 0.2469 0.7519  2 Cu 1.92
6 O 0.0651 0.7481 0.7471  2 Cu 1.91
7 O 0.1746 0.0289 0.4849  1 Co 1.79
8 O 0.2500 0.6169 0.3876  2 Co 1.90-1.92

Volume (Å³ per atom): 12.6
ΔE_f (raw) (eV/atom): -2.206

=====

Entry 5:
First-principles (meta-GGA SCAN) data for Cr4CoTc at its PBEsol-relaxed geometry, as listed in Alexandria.

a b c (Å): 6.5314 6.5314 6.5314
angles (deg): 90.00 90.00 90.00
Closest atoms and distances in Å follow each position.
Space group F-43m (No. 216)
Asymmetric unit:
1 Cr 0.1252 0.1252 0.1252  6 Cr 2.31
2 Co 0.2500 0.2500 0.7500  12 Cr 2.71, 4 Tc 2.83
3 Tc 0.0000 0.0000 0.5000  12 Cr 2.71, 4 Co 2.83

Volume (Å³ per atom): 11.6

=====

Entry 6:
First-principles (meta-GGA SCAN) data for K2CaS2 at its PBEsol-relaxed geometry, as listed in Alexandria.

a b c (Å): 5.5038 5.5038 9.0228
angles (deg): 90.00 90.00 90.00
Closest atoms and distances in Å follow each position.
Space group I4/mmm (No. 139)
Asymmetric unit:
1 K 0.0000 0.0000 0.1506  1 K 2.72, 4 S 2.89
2 Ca 0.0000 0.0000 0.5000  2 K 3.15
3 S 0.0000 0.5000 0.2500  4 K 2.89

Volume (Å³ per atom): 27.3
ΔE_f (raw) (eV/atom): -0.956

=====

Number 1: final energy -28.672 eV/atom. Number 2: final energy -23.609 eV/atom. Number 3: final energy -10.403 eV/atom. Number 4: final energy -14.800 eV/atom. Number 5: final energy -20.797 eV/atom. Number 6: final energy -10.071 eV/atom.